No. 1
# SrAs3Rh5 PBE optimized geometry
# Formation enthalpy at 0 K = -599 meV/atom
# E = -6.42 eV per atom
# Volume = 17.866 A^3/atom
# Size of the total moment = 0.00 μB per formula unit
data_SrAs3Rh5
_chemical_formula_sum 'Sr4 As12 Rh20'
_space_group_name_H-M_alt 'C m c m'
_space_group_IT_number 63
_space_group_name_Hall '-C 2c 2'
_cell_length_a 4.020
_cell_length_b 12.716
_cell_length_c 12.581
_cell_angle_alpha 90.00
_cell_angle_beta 90.00
_cell_angle_gamma 90.00
loop_
_atom_site_label
_atom_site_fract_x
_atom_site_fract_y
_atom_site_fract_z
Sr1 0.000 0.162 0.250
As1 0.000 0.107 0.750
As2 0.000 0.385 0.545
Rh1 0.000 0.000 0.000
Rh2 0.000 0.202 0.571
Rh3 0.000 0.440 0.140

***

No. 2
# Sr2As7Rh12 PBE optimized geometry
# Formation enthalpy at 0 K = -627 meV/atom
# E = -6.54 eV per atom
# Volume = 16.486 A^3/atom
# Size of the total moment = 0.00 μB per formula unit
data_Sr2As7Rh12
_chemical_formula_sum 'Sr2 As7 Rh12'
_space_group_name_H-M_alt 'P -6'
_space_group_IT_number 174
_cell_length_a 10.0737
_cell_length_b 10.0737
_cell_length_c 3.9393
_cell_angle_alpha 90.00
_cell_angle_beta 90.00
_cell_angle_gamma 120.00
loop_
_space_group_symop_operation_xyz
'x,y,z'
'-x+y,-x,-z'
'-y,x-y,z'
'x,y,-z'
'-x+y,-x,z'
'-y,x-y,-z'
loop_
_atom_site_label
_atom_site_fract_x
_atom_site_fract_y
_atom_site_fract_z
Sr1 0.0000 0.0000 0.0000
Sr2 0.3333 0.6667 0.5000
As1 0.0691 0.4482 0.0000
As2 0.2654 0.2225 0.5000
As3 0.6667 0.3333 0.0000
Rh1 0.0500 0.2761 0.5000
Rh2 0.1079 0.7137 0.0000
Rh3 0.3955 0.1808 0.0000
Rh4 0.5265 0.4444 0.5000

***

No. 3
# SrAs4Rh6 PBE optimized geometry
# Formation enthalpy at 0 K = -632 meV/atom
# E = -6.49 eV per atom
# Volume = 16.243 A^3/atom
# Size of the total moment = 0.00 μB per formula unit
data_SrAs4Rh6
_chemical_formula_sum 'Sr1 As4 Rh6'
_space_group_name_H-M_alt 'P -6 m 2'
_space_group_IT_number 187
_space_group_name_Hall 'P -6 2'
_cell_length_a 7.3008
_cell_length_b 7.3008
_cell_length_c 3.8708
_cell_angle_alpha 90.00
_cell_angle_beta 90.00
_cell_angle_gamma 120.00
loop_
_atom_site_label
_atom_site_fract_x
_atom_site_fract_y
_atom_site_fract_z
Sr1 0.0000 0.0000 0.0000
As1 0.3333 0.6667 0.0000
As2 0.3821 0.1911 0.5000
Rh1 0.2018 0.4035 0.5000
Rh2 0.5350 0.0700 0.0000

***

No. 4
# SrAs4Rh PBE optimized geometry
# Formation enthalpy at 0 K = 68 meV/atom
# E = -4.54 eV per atom
# Volume = 20.958 A^3/atom
# Size of the total moment = 0.40 μB per formula unit
data_SrAs4Rh
_chemical_formula_sum 'Sr4 As16 Rh4'
_space_group_name_H-M_alt 'F -4 3 m'
_space_group_IT_number 216
_space_group_name_Hall 'F -4 2 3'
_cell_length_a 7.953
_cell_length_b 7.953
_cell_length_c 7.953
_cell_angle_alpha 90.00
_cell_angle_beta 90.00
_cell_angle_gamma 90.00
loop_
_atom_site_label
_atom_site_fract_x
_atom_site_fract_y
_atom_site_fract_z
Sr1 0.000 0.000 0.000
As1 0.124 0.124 0.624
Rh1 0.250 0.250 0.250

***

No. 5
# SrAs3Rh3 PBE optimized geometry
# Formation enthalpy at 0 K = -477 meV/atom
# E = -5.86 eV per atom
# Volume = 22.256 A^3/atom
# Size of the total moment = 0.00 μB per formula unit
data_SrAs3Rh3
_chemical_formula_sum 'Sr2 As6 Rh6'
_space_group_name_H-M_alt 'P m -3 n'
_space_group_IT_number 223
_space_group_name_Hall '-P 4n 2 3'
_cell_length_a 6.779
_cell_length_b 6.779
_cell_length_c 6.779
_cell_angle_alpha 90.00
_cell_angle_beta 90.00
_cell_angle_gamma 90.00
loop_
_atom_site_label
_atom_site_fract_x
_atom_site_fract_y
_atom_site_fract_z
Sr1 0.000 0.000 0.000
As1 0.000 0.250 0.500
Rh1 0.000 0.500 0.250

***

No. 6
# SrAs3Rh PBE optimized geometry
# Formation enthalpy at 0 K = -178 meV/atom
# E = -4.77 eV per atom
# Volume = 24.148 A^3/atom
# Size of the total moment = 0.00 μB per formula unit
data_SrAs3Rh
_chemical_formula_sum 'Sr1 As3 Rh1'
_space_group_name_H-M_alt 'P m -3 m'
_space_group_IT_number 221
_space_group_name_Hall '-P 4 2 3'
_cell_length_a 4.943
_cell_length_b 4.943
_cell_length_c 4.943
_cell_angle_alpha 90.00
_cell_angle_beta 90.00
_cell_angle_gamma 90.00
loop_
_atom_site_label
_atom_site_fract_x
_atom_site_fract_y
_atom_site_fract_z
Sr1 0.000 0.000 0.000
As1 0.000 0.500 0.500
Rh1 0.500 0.500 0.500